<w>
Below is a geometry-optimized ScCoAgPb structure, with properties calculated at the PBE level. Values from VASP.

Summary:
- V: 72 Å³ per cell
- Crystal system: cubic
- Space-group type: F-43m (216)
- ρ: 9.60 g/cm3

The structure in Quantum ESPRESSO input format:
```
&SYSTEM
  ibrav = 0, nat = 4, ntyp = 4
/
ATOMIC_SPECIES
Sc 44.96 Sc.upf
Co 58.93 Co.upf
Ag 107.87 Ag.upf
Pb 207.20 Pb.upf
CELL_PARAMETERS angstrom
0.000 3.309 3.309
3.309 0.000 3.309
3.309 3.309 0.000
ATOMIC_POSITIONS crystal
Sc 0.000 0.000 0.000
Co 0.750 0.750 0.750
Ag 0.250 0.250 0.250
Pb 0.500 0.500 0.500
```


<x>
Below is a geometry-optimized ScCoAgPb structure, with properties calculated at the PBE level. Values from VASP.

Summary:
- V: 73 Å³ per cell
- Crystal system: cubic
- Space-group type: F-43m (216)
- ρ: 9.56 g/cm3

The structure in Quantum ESPRESSO input format:
```
&SYSTEM
  ibrav = 0, nat = 4, ntyp = 4
/
ATOMIC_SPECIES
Sc 44.96 Sc.upf
Co 58.93 Co.upf
Ag 107.87 Ag.upf
Pb 207.20 Pb.upf
CELL_PARAMETERS angstrom
0.000 3.314 3.314
3.314 0.000 3.314
3.314 3.314 0.000
ATOMIC_POSITIONS crystal
Sc 0.000 0.000 0.000
Co 0.500 0.500 0.500
Ag 0.750 0.750 0.750
Pb 0.250 0.250 0.250
```


Most stable: <w>. Least stable: <x>.


<w>
Below is a geometry-optimized ZrCoAgPb structure, with properties calculated at the PBE level. Values from VASP.

Summary:
- V: 74 Å³ per cell
- Crystal system: cubic
- Space-group type: F-43m (216)
- ρ: 10.46 g/cm3

The structure in Quantum ESPRESSO input format:
```
&SYSTEM
  ibrav = 0, nat = 4, ntyp = 4
/
ATOMIC_SPECIES
Zr 91.22 Zr.upf
Co 58.93 Co.upf
Ag 107.87 Ag.upf
Pb 207.20 Pb.upf
CELL_PARAMETERS angstrom
0.000 3.330 3.330
3.330 0.000 3.330
3.330 3.330 0.000
ATOMIC_POSITIONS crystal
Zr 0.000 0.000 0.000
Co 0.500 0.500 0.500
Ag 0.750 0.750 0.750
Pb 0.250 0.250 0.250
```


<x>
Below is a geometry-optimized ZrCoAgPb structure, with properties calculated at the PBE level. Values from VASP.

Summary:
- V: 74 Å³ per cell
- Crystal system: cubic
- Space-group type: F-43m (216)
- ρ: 10.45 g/cm3

The structure in Quantum ESPRESSO input format:
```
&SYSTEM
  ibrav = 0, nat = 4, ntyp = 4
/
ATOMIC_SPECIES
Zr 91.22 Zr.upf
Co 58.93 Co.upf
Ag 107.87 Ag.upf
Pb 207.20 Pb.upf
CELL_PARAMETERS angstrom
0.000 3.331 3.331
3.331 0.000 3.331
3.331 3.331 0.000
ATOMIC_POSITIONS crystal
Zr 0.000 0.000 0.000
Co 0.750 0.750 0.750
Ag 0.250 0.250 0.250
Pb 0.500 0.500 0.500
```


Most stable: <x>. Least stable: <w>.


<w>
Below is a geometry-optimized Sc2CoAg2 structure, with properties calculated at the PBE level. Values from VASP.

Summary:
- V: 110 Å³ per cell
- Crystal system: tetragonal
- Space-group type: I4/mmm (139)
- ρ: 5.52 g/cm3

The structure in Quantum ESPRESSO input format:
```
&SYSTEM
  ibrav = 0, nat = 5, ntyp = 3
/
ATOMIC_SPECIES
Sc 44.96 Sc.upf
Co 58.93 Co.upf
Ag 107.87 Ag.upf
CELL_PARAMETERS angstrom
-2.242 2.242 5.454
2.242 -2.242 5.454
2.242 2.242 -5.454
ATOMIC_POSITIONS crystal
Sc 0.250 0.750 0.500
Sc 0.750 0.250 0.500
Co 0.000 0.000 0.000
Ag 0.387 0.387 0.000
Ag 0.613 0.613 0.000
```


<x>
Below is a geometry-optimized Sc2CoAg2 structure, with properties calculated at the PBE level. Values from VASP.

Summary:
- V: 98 Å³ per cell
- Crystal system: tetragonal
- Space-group type: I4/mmm (139)
- ρ: 6.15 g/cm3

The structure in Quantum ESPRESSO input format:
```
&SYSTEM
  ibrav = 0, nat = 5, ntyp = 3
/
ATOMIC_SPECIES
Sc 44.96 Sc.upf
Co 58.93 Co.upf
Ag 107.87 Ag.upf
CELL_PARAMETERS angstrom
-1.801 1.801 7.589
1.801 -1.801 7.589
1.801 1.801 -7.589
ATOMIC_POSITIONS crystal
Sc 0.092 0.092 0.000
Sc 0.908 0.908 0.000
Co 0.500 0.500 0.000
Ag 0.250 0.750 0.500
Ag 0.750 0.250 0.500
```


Most stable: <x>. Least stable: <w>.


<w>
Below is a geometry-optimized ScCoAgSn structure, with properties calculated at the PBE level. Values from VASP.

Summary:
- V: 69 Å³ per cell
- Crystal system: cubic
- Space-group type: F-43m (216)
- ρ: 7.93 g/cm3

The structure in Quantum ESPRESSO input format:
```
&SYSTEM
  ibrav = 0, nat = 4, ntyp = 4
/
ATOMIC_SPECIES
Sc 44.96 Sc.upf
Co 58.93 Co.upf
Ag 107.87 Ag.upf
Sn 118.71 Sn.upf
CELL_PARAMETERS angstrom
0.000 3.259 3.259
3.259 0.000 3.259
3.259 3.259 0.000
ATOMIC_POSITIONS crystal
Sc 0.000 0.000 0.000
Co 0.750 0.750 0.750
Ag 0.250 0.250 0.250
Sn 0.500 0.500 0.500
```


<x>
Below is a geometry-optimized ScCoAgSn structure, with properties calculated at the PBE level. Values from VASP.

Summary:
- V: 70 Å³ per cell
- Crystal system: cubic
- Space-group type: F-43m (216)
- ρ: 7.86 g/cm3

The structure in Quantum ESPRESSO input format:
```
&SYSTEM
  ibrav = 0, nat = 4, ntyp = 4
/
ATOMIC_SPECIES
Sc 44.96 Sc.upf
Co 58.93 Co.upf
Ag 107.87 Ag.upf
Sn 118.71 Sn.upf
CELL_PARAMETERS angstrom
0.000 3.268 3.268
3.268 0.000 3.268
3.268 3.268 0.000
ATOMIC_POSITIONS crystal
Sc 0.000 0.000 0.000
Co 0.500 0.500 0.500
Ag 0.750 0.750 0.750
Sn 0.250 0.250 0.250
```


Most stable: <w>. Least stable: <x>.


<w>
Below is a geometry-optimized ScZnCoAg structure, with properties calculated at the PBE level. Values from VASP.

Summary:
- V: 64 Å³ per cell
- Crystal system: cubic
- Space-group type: F-43m (216)
- ρ: 7.16 g/cm3

The structure in Quantum ESPRESSO input format:
```
&SYSTEM
  ibrav = 0, nat = 4, ntyp = 4
/
ATOMIC_SPECIES
Sc 44.96 Sc.upf
Zn 65.41 Zn.upf
Co 58.93 Co.upf
Ag 107.87 Ag.upf
CELL_PARAMETERS angstrom
0.000 3.179 3.179
3.179 0.000 3.179
3.179 3.179 0.000
ATOMIC_POSITIONS crystal
Sc 0.000 0.000 0.000
Zn 0.250 0.250 0.250
Co 0.500 0.500 0.500
Ag 0.750 0.750 0.750
```


<x>
Below is a geometry-optimized ScZnCoAg structure, with properties calculated at the PBE level. Values from VASP.

Summary:
- V: 63 Å³ per cell
- Crystal system: cubic
- Space-group type: F-43m (216)
- ρ: 7.33 g/cm3

The structure in Quantum ESPRESSO input format:
```
&SYSTEM
  ibrav = 0, nat = 4, ntyp = 4
/
ATOMIC_SPECIES
Sc 44.96 Sc.upf
Zn 65.41 Zn.upf
Co 58.93 Co.upf
Ag 107.87 Ag.upf
CELL_PARAMETERS angstrom
0.000 3.154 3.154
3.154 0.000 3.154
3.154 3.154 0.000
ATOMIC_POSITIONS crystal
Sc 0.000 0.000 0.000
Zn 0.500 0.500 0.500
Co 0.750 0.750 0.750
Ag 0.250 0.250 0.250
```


Most stable: <x>. Least stable: <w>.


<w>
Below is a geometry-optimized TaCoSiAg structure, with properties calculated at the PBE level. Values from VASP.

Summary:
- V: 59 Å³ per cell
- Crystal system: cubic
- Space-group type: F-43m (216)
- ρ: 10.64 g/cm3

The structure in Quantum ESPRESSO input format:
```
&SYSTEM
  ibrav = 0, nat = 4, ntyp = 4
/
ATOMIC_SPECIES
Ta 180.95 Ta.upf
Co 58.93 Co.upf
Si 28.09 Si.upf
Ag 107.87 Ag.upf
CELL_PARAMETERS angstrom
0.000 3.084 3.084
3.084 0.000 3.084
3.084 3.084 0.000
ATOMIC_POSITIONS crystal
Ta 0.000 0.000 0.000
Co 0.750 0.750 0.750
Si 0.500 0.500 0.500
Ag 0.250 0.250 0.250
```


<x>
Below is a geometry-optimized TaCoSiAg structure, with properties calculated at the PBE level. Values from VASP.

Summary:
- V: 59 Å³ per cell
- Crystal system: cubic
- Space-group type: F-43m (216)
- ρ: 10.63 g/cm3

The structure in Quantum ESPRESSO input format:
```
&SYSTEM
  ibrav = 0, nat = 4, ntyp = 4
/
ATOMIC_SPECIES
Ta 180.95 Ta.upf
Co 58.93 Co.upf
Si 28.09 Si.upf
Ag 107.87 Ag.upf
CELL_PARAMETERS angstrom
0.000 3.085 3.085
3.085 0.000 3.085
3.085 3.085 0.000
ATOMIC_POSITIONS crystal
Ta 0.000 0.000 0.000
Co 0.500 0.500 0.500
Si 0.250 0.250 0.250
Ag 0.750 0.750 0.750
```


Most stable: <x>. Least stable: <w>.


<w>
Below is a geometry-optimized YCoAgSn structure, with properties calculated at the PBE level. Values from VASP.

Summary:
- V: 77 Å³ per cell
- Crystal system: cubic
- Space-group type: F-43m (216)
- ρ: 8.08 g/cm3

The structure in Quantum ESPRESSO input format:
```
&SYSTEM
  ibrav = 0, nat = 4, ntyp = 4
/
ATOMIC_SPECIES
Y 88.91 Y.upf
Co 58.93 Co.upf
Ag 107.87 Ag.upf
Sn 118.71 Sn.upf
CELL_PARAMETERS angstrom
0.000 3.375 3.375
3.375 0.000 3.375
3.375 3.375 0.000
ATOMIC_POSITIONS crystal
Y 0.000 0.000 0.000
Co 0.750 0.750 0.750
Ag 0.250 0.250 0.250
Sn 0.500 0.500 0.500
```


<x>
Below is a geometry-optimized YCoAgSn structure, with properties calculated at the PBE level. Values from VASP.

Summary:
- V: 78 Å³ per cell
- Crystal system: cubic
- Space-group type: F-43m (216)
- ρ: 7.95 g/cm3

The structure in Quantum ESPRESSO input format:
```
&SYSTEM
  ibrav = 0, nat = 4, ntyp = 4
/
ATOMIC_SPECIES
Y 88.91 Y.upf
Co 58.93 Co.upf
Ag 107.87 Ag.upf
Sn 118.71 Sn.upf
CELL_PARAMETERS angstrom
0.000 3.395 3.395
3.395 0.000 3.395
3.395 3.395 0.000
ATOMIC_POSITIONS crystal
Y 0.000 0.000 0.000
Co 0.500 0.500 0.500
Ag 0.750 0.750 0.750
Sn 0.250 0.250 0.250
```


Most stable: <w>. Least stable: <x>.


<w>
Below is a geometry-optimized ZrCoAgSn structure, with properties calculated at the PBE level. Values from VASP.

Summary:
- V: 71 Å³ per cell
- Crystal system: cubic
- Space-group type: F-43m (216)
- ρ: 8.78 g/cm3

The structure in Quantum ESPRESSO input format:
```
&SYSTEM
  ibrav = 0, nat = 4, ntyp = 4
/
ATOMIC_SPECIES
Zr 91.22 Zr.upf
Co 58.93 Co.upf
Ag 107.87 Ag.upf
Sn 118.71 Sn.upf
CELL_PARAMETERS angstrom
0.000 3.290 3.290
3.290 0.000 3.290
3.290 3.290 0.000
ATOMIC_POSITIONS crystal
Zr 0.000 0.000 0.000
Co 0.500 0.500 0.500
Ag 0.750 0.750 0.750
Sn 0.250 0.250 0.250
```


<x>
Below is a geometry-optimized ZrCoAgSn structure, with properties calculated at the PBE level. Values from VASP.

Summary:
- V: 70 Å³ per cell
- Crystal system: cubic
- Space-group type: F-43m (216)
- ρ: 8.89 g/cm3

The structure in Quantum ESPRESSO input format:
```
&SYSTEM
  ibrav = 0, nat = 4, ntyp = 4
/
ATOMIC_SPECIES
Zr 91.22 Zr.upf
Co 58.93 Co.upf
Ag 107.87 Ag.upf
Sn 118.71 Sn.upf
CELL_PARAMETERS angstrom
0.000 3.277 3.277
3.277 0.000 3.277
3.277 3.277 0.000
ATOMIC_POSITIONS crystal
Zr 0.000 0.000 0.000
Co 0.750 0.750 0.750
Ag 0.250 0.250 0.250
Sn 0.500 0.500 0.500
```


Most stable: <x>. Least stable: <w>.